Y2Zn2GeRh5: relaxed, PBE.

- volume (A^3/atom) = 16.7
- symmetry = P4/mbm
- formation energy from the elements (eV/atom) = -0.621

abc: 9.750 9.750 3.507
angles: 90.00 90.00 90.00
Atoms (fractional coordinates):
1 Y 0.172 0.328 0.000
2 Y 0.328 0.828 0.000
3 Y 0.672 0.172 0.000
4 Y 0.828 0.672 0.000
5 Zn 0.128 0.628 0.000
6 Zn 0.372 0.128 0.000
7 Zn 0.628 0.872 0.000
8 Zn 0.872 0.372 0.000
9 Ge 0.000 0.000 0.000
10 Ge 0.500 0.500 0.000
11 Rh 0.000 0.500 0.500
12 Rh 0.062 0.803 0.500
13 Rh 0.197 0.062 0.500
14 Rh 0.303 0.562 0.500
15 Rh 0.438 0.303 0.500
16 Rh 0.500 0.000 0.500
17 Rh 0.562 0.697 0.500
18 Rh 0.697 0.438 0.500
19 Rh 0.803 0.938 0.500
20 Rh 0.938 0.197 0.500